No. 1
meta-GGA SCAN Ba3CaI8, PBEsol geometry; DOS at the Fermi energy = 0.000 states/eV/cell; energy = -37.06 eV per atom
1.0
-4.033 4.033 8.058
4.033 -4.033 8.058
4.033 4.033 -8.058
Ba Ca I
3 1 8
Direct
0.000 0.000 0.000
0.250 0.750 0.500
0.750 0.250 0.500
0.500 0.500 0.000
0.137 0.137 0.516
0.137 0.621 0.000
0.379 0.379 0.516
0.379 0.863 0.000
0.621 0.137 0.000
0.621 0.621 0.484
0.863 0.379 0.000
0.863 0.863 0.484


No. 2
meta-GGA SCAN TcW, PBEsol geometry; DOS at the Fermi energy = 2.741 states/eV/cell; energy of formation from the pure elements = 0.021 eV/atom; energy = -52.35 eV per atom
1.0
-1.551 2.188 4.403
1.551 -2.188 4.403
1.551 2.188 -4.403
Tc W
2 2
Direct
0.367 0.117 0.250
0.633 0.883 0.750
0.120 0.370 0.750
0.880 0.630 0.250


No. 3
meta-GGA SCAN Pb2AuS2, PBEsol geometry; DOS at the Fermi energy = 1.877 states/eV/cell; energy = -47.86 eV per atom
1.0
-2.110 2.110 7.023
2.110 -2.110 7.023
2.110 2.110 -7.023
Pb Au S
2 1 2
Direct
0.118 0.118 0.000
0.882 0.882 0.000
0.500 0.500 0.000
0.250 0.750 0.500
0.750 0.250 0.500


No. 4
meta-GGA SCAN MgScMn2As, PBEsol geometry; DOS at the Fermi energy = 2.565 states/eV/cell; energy of formation from the pure elements = 1.165 eV/atom; energy = -14.02 eV per atom
1.0
4.433 0.000 0.000
0.000 4.433 0.000
0.000 0.000 5.255
Mg Sc Mn As
1 1 2 1
Direct
0.000 0.000 0.000
0.000 0.000 0.500
0.000 0.500 0.500
0.500 0.000 0.500
0.500 0.500 0.000


> Look up the DOS at the Fermi energy of the third one.

1.877 states/eV/cell